No. 1
Computed, not measured: a geometry-optimized La6As2PI3 structure at the PBE level of DFT.

Geometry as POSCAR:
```
La6As2PI3
1.0
3.797 -6.577 0.000
3.797 6.577 0.000
-2.530 0.000 7.740
La As P I
6 2 1 3
Direct
0.066 0.390 0.197 La
0.258 0.258 0.802 La
0.390 0.066 0.197 La
0.610 0.934 0.803 La
0.742 0.742 0.198 La
0.934 0.610 0.803 La
0.334 0.666 0.000 As
0.666 0.334 0.000 As
0.000 0.000 0.000 P
0.169 0.831 0.500 I
0.500 0.500 0.500 I
0.831 0.169 0.500 I
```

Computed properties:
* formation energy without anion corrections: -1427 meV per atom
* ρ: 5.992 g cm⁻³

No. 2
Computed, not measured: a geometry-optimized Ac3Sn7Rh2 structure at the PBE level of DFT.

Geometry as POSCAR:
```
Ac3Sn7Rh2
1.0
4.761 0.000 0.000
0.000 4.776 0.000
-2.373 0.000 14.433
Ac Sn Rh
3 7 2
Direct
0.000 0.000 0.000 Ac
0.317 0.500 0.635 Ac
0.683 0.500 0.365 Ac
0.089 0.500 0.175 Sn
0.220 0.000 0.440 Sn
0.413 0.000 0.825 Sn
0.500 0.500 0.000 Sn
0.587 0.000 0.175 Sn
0.780 0.000 0.560 Sn
0.911 0.500 0.825 Sn
0.128 0.000 0.258 Rh
0.872 0.000 0.742 Rh
```

Computed properties:
* formation enthalpy at 0 K: -0.687 eV/atom
* ρ: 8.692 g cm⁻³

No. 3
Computed, not measured: a geometry-optimized TmZnSn structure at the PBE level of DFT.

Geometry as POSCAR:
```
TmZnSn
1.0
7.995 -2.170 0.000
7.995 2.170 0.000
-1.038 0.000 4.023
Tm Zn Sn
2 2 2
Direct
0.000 0.000 0.000 Tm
0.218 0.218 0.718 Tm
0.557 0.557 0.562 Zn
0.824 0.824 0.108 Zn
0.390 0.390 0.457 Sn
0.658 0.658 0.159 Sn
```

Computed properties:
* formation enthalpy at 0 K: -0.422 eV/atom
* ρ: 8.398 g cm⁻³

No. 4
Computed, not measured: a geometry-optimized BeNiSe2 structure at the PBE level of DFT.

Geometry as POSCAR:
```
BeNiSe2
1.0
4.469 0.000 0.000
0.000 4.469 0.000
0.000 0.000 2.971
Be Ni Se
1 1 2
Direct
0.000 0.000 0.000 Be
0.500 0.500 0.000 Ni
0.000 0.500 0.500 Se
0.500 0.000 0.500 Se
```

Computed properties:
* formation energy without anion corrections: 357 meV per atom
* ρ: 6.315 g cm⁻³

No. 5
Computed, not measured: a geometry-optimized Sc6Se2S structure at the PBE level of DFT.

Geometry as POSCAR:
```
Sc6Se2S
1.0
6.148 0.000 0.000
0.000 6.787 0.000
-5.533 0.000 9.043
Sc Se S
12 4 2
Direct
0.084 0.034 0.259 Sc
0.084 0.466 0.759 Sc
0.212 0.666 0.060 Sc
0.212 0.834 0.560 Sc
0.401 0.196 0.052 Sc
0.401 0.304 0.552 Sc
0.599 0.696 0.448 Sc
0.599 0.804 0.948 Sc
0.788 0.166 0.440 Sc
0.788 0.334 0.940 Sc
0.916 0.534 0.241 Sc
0.916 0.966 0.741 Sc
0.342 0.128 0.774 Se
0.342 0.372 0.274 Se
0.658 0.628 0.726 Se
0.658 0.872 0.226 Se
0.000 0.000 0.000 S
0.000 0.500 0.500 S
```

Computed properties:
* formation energy without anion corrections: -1110 meV per atom
* ρ: 4.047 g cm⁻³

No. 6
Computed, not measured: a geometry-optimized TaMn2Ni8 structure at the PBE level of DFT.

Geometry as POSCAR:
```
TaMn2Ni8
1.0
-1.845 3.314 5.550
1.845 -3.314 5.550
1.845 3.314 -5.550
Ta Mn Ni
1 2 8
Direct
0.000 0.000 0.000 Ta
0.319 0.319 0.000 Mn
0.681 0.681 0.000 Mn
0.104 0.836 0.267 Ni
0.159 0.659 0.500 Ni
0.286 0.500 0.786 Ni
0.431 0.164 0.267 Ni
0.569 0.836 0.733 Ni
0.714 0.500 0.214 Ni
0.841 0.341 0.500 Ni
0.896 0.164 0.733 Ni
```

Computed properties:
* formation enthalpy at 0 K: -0.037 eV/atom
* ρ: 9.304 g cm⁻³